# VTeO2 PBE+U optimized geometry
data_VTeO2
_cell_length_a 6.715
_cell_length_b 6.715
_cell_length_c 6.715
_cell_angle_alpha 27.89
_cell_angle_beta 27.89
_cell_angle_gamma 27.89
_symmetry_space_group_name_H-M 'P 1'
_symmetry_Int_Tables_number 1
loop_
_symmetry_equiv_pos_as_xyz
'x,y,z'
loop_
_atom_site_label
_atom_site_type_symbol
_atom_site_fract_x
_atom_site_fract_y
_atom_site_fract_z
V1 V 0.000 0.000 0.000
Te1 Te 0.500 0.500 0.500
O1 O 0.385 0.385 0.385
O2 O 0.615 0.615 0.615
# N(E_F)   2.873 states/eV per cell
# E   -6.383 eV/atom